# 1
Here is a relaxed KLi2Np3S6 crystal from Alexandria via LeMat-Bulk. Energies are from PBE.

Calculated values
E = -169.113 eV for the cell shown
Fermi-level density of states = 55.55 states/eV/cell
magnetic moment = 12.00 μB per formula unit
E_form (uncorrected) = -16.04 eV per formula unit

Unit cell a=17.8116 b=3.9989 c=8.1399 alpha=90.00 beta=104.53 gamma=90.00
Space group C2/m (No. 12)
One atom of each set of equivalent atoms:
K  0.0000  0.0000  0.0000
Li  0.1812  0.5000  0.3690
Np  0.0000  0.0000  0.5000
Np  0.1695  0.5000  0.8255
S  0.0096  0.5000  0.7263
S  0.1654  0.0000  0.5787
S  0.1750  0.0000  0.0650

***

# 2
Here is a relaxed SiSbRu2 crystal from Alexandria via LeMat-Bulk. Energies are from PBE.

Calculated values
E = -57.622 eV for the cell shown
Fermi-level density of states = 2.89 states/eV/cell
energy above the lowest structure with this stoichiometry = 0.016 eV per atom
magnetic moment = 0.00 μB per formula unit
E_form (uncorrected) = -0.71 eV per formula unit

Unit cell a=3.1076 b=3.7378 c=11.1322 alpha=90.00 beta=90.00 gamma=90.00
Space group Imm2 (No. 44)
One atom of each set of equivalent atoms:
Si  0.0000  0.0000  0.0000
Sb  0.0000  0.5000  0.2606
Ru  0.0000  0.0000  0.4372
Ru  0.0000  0.5000  0.6638

***

# 3
Here is a relaxed HfPdN3 crystal from Alexandria via LeMat-Bulk. Energies are from PBE.

Calculated values
E = -35.282 eV for the cell shown
Fermi-level density of states = 5.09 states/eV/cell
magnetic moment = 1.06 μB per formula unit
E_form (uncorrected) = 4.84 eV per formula unit

Unit cell a=4.1443 b=4.1443 c=4.1443 alpha=90.00 beta=90.00 gamma=90.00
Space group Pm-3m (No. 221)
One atom of each set of equivalent atoms:
Hf  0.0000  0.0000  0.0000
Pd  0.5000  0.5000  0.5000
N  0.0000  0.0000  0.5000

***

# 4
Here is a relaxed ThTa2Se4I2 crystal from Alexandria via LeMat-Bulk. Energies are from PBE.

Calculated values
E = -55.405 eV for the cell shown
Fermi-level density of states = 7.56 states/eV/cell
magnetic moment = 0.00 μB per formula unit
E_form (uncorrected) = -7.24 eV per formula unit

Unit cell a=3.6214 b=3.6214 c=22.9827 alpha=90.00 beta=90.00 gamma=120.00
Space group P3m1 (No. 156)
One atom of each set of equivalent atoms:
Th  0.0000  0.0000  0.0000
Ta  0.0000  0.0000  0.6409
Ta  0.6667  0.3333  0.3355
Se  0.0000  0.0000  0.2643
Se  0.0000  0.0000  0.4063
Se  0.6667  0.3333  0.5702
Se  0.6667  0.3333  0.7122
I  0.6667  0.3333  0.1046
I  0.6667  0.3333  0.8952

***

# 5
Here is a relaxed TbAl3ZnCo crystal from Alexandria via LeMat-Bulk. Energies are from PBE.

Calculated values
E = -102.565 eV for the cell shown
Fermi-level density of states = 15.21 states/eV/cell
energy of formation from the pure elements = -1.40 eV/f.u.
magnetic moment = 0.00 μB per formula unit

Unit cell a=6.1381 b=12.2266 c=5.6532 alpha=90.00 beta=90.00 gamma=90.00
Space group Cmcm (No. 63)
One atom of each set of equivalent atoms:
Tb  0.0000  0.2268  0.2500
Al  0.0000  0.3659  0.7500
Al  0.2109  0.0000  0.0000
Zn  0.0000  0.1535  0.7500
Co  0.0000  0.4360  0.2500

***

# 6
Here is a relaxed Nd6Dy2In3 crystal from Alexandria via LeMat-Bulk. Energies are from PBE.

Calculated values
E = -87.903 eV for the cell shown
Fermi-level density of states = 16.00 states/eV/cell
energy of formation from the pure elements = 2.08 eV/f.u.
magnetic moment = 0.00 μB per formula unit

Unit cell a=5.4819 b=5.4819 c=24.6643 alpha=90.00 beta=90.00 gamma=90.00
Space group I4/mmm (No. 139)
One atom of each set of equivalent atoms:
Nd  0.0000  0.0000  0.1981
Nd  0.0000  0.5000  0.0986
Dy  0.0000  0.0000  0.0579
In  0.0000  0.0000  0.3266
In  0.0000  0.0000  0.5000

***

# 7
Here is a relaxed Mg2AuBr crystal from Alexandria via LeMat-Bulk. Energies are from PBE.

Calculated values
E = -19.558 eV for the cell shown
Fermi-level density of states = 4.28 states/eV/cell
energy above the lowest structure with this stoichiometry = 0.262 eV per atom
magnetic moment = 0.00 μB per formula unit
E_form (uncorrected) = -1.64 eV per formula unit

Unit cell a=6.8379 b=7.5489 c=3.2687 alpha=90.00 beta=90.27 gamma=90.00
Space group C2/m (No. 12)
One atom of each set of equivalent atoms:
Mg  0.2500  0.2500  0.0000
Au  0.0000  0.0000  0.5000
Br  0.0000  0.5000  0.5000